[1]
! AlPO4, relaxed, DFT PBE; values from VASP
! **Space-group type**: No. 45
! **Total moment**: 0.0 Bohr magnetons per cell
! **Uncorrected energy**: -0.27474 Ha/atom
&SYSTEM
  ibrav = 0, nat = 96, ntyp = 3
/
ATOMIC_SPECIES
Al 26.98 Al.upf
P 30.97 P.upf
O 16.00 O.upf
CELL_PARAMETERS angstrom
-7.510 14.114 4.281
7.510 -14.114 4.281
7.510 14.114 -4.281
ATOMIC_POSITIONS crystal
Al 0.058 0.100 0.151
Al 0.141 0.782 0.920
Al 0.174 0.401 0.571
Al 0.223 0.094 0.317
Al 0.277 0.594 0.870
Al 0.329 0.901 0.226
Al 0.361 0.282 0.641
Al 0.449 0.600 0.042
Al 0.558 0.407 0.958
Al 0.641 0.721 0.359
Al 0.674 0.103 0.774
Al 0.723 0.406 0.130
Al 0.777 0.906 0.683
Al 0.829 0.603 0.429
Al 0.861 0.221 0.080
Al 0.949 0.907 0.849
P 0.068 0.224 0.048
P 0.176 0.020 0.952
P 0.270 0.346 0.357
P 0.299 0.726 0.769
P 0.350 0.030 0.125
P 0.405 0.530 0.681
P 0.457 0.226 0.427
P 0.489 0.846 0.076
P 0.568 0.520 0.844
P 0.676 0.724 0.156
P 0.770 0.413 0.924
P 0.799 0.030 0.573
P 0.850 0.724 0.319
P 0.905 0.224 0.875
P 0.957 0.530 0.231
P 0.989 0.913 0.643
O 0.037 0.888 0.324
O 0.064 0.388 0.851
O 0.068 0.190 0.116
O 0.073 0.952 0.884
O 0.132 0.050 0.060
O 0.140 0.879 0.909
O 0.142 0.696 0.233
O 0.153 0.104 0.651
O 0.177 0.260 0.268
O 0.179 0.704 0.806
O 0.212 0.207 0.356
O 0.230 0.577 0.661
O 0.237 0.415 0.456
O 0.244 0.403 0.046
O 0.265 0.411 0.612
O 0.268 0.059 0.192
O 0.296 0.940 0.015
O 0.299 0.911 0.146
O 0.323 0.715 0.840
O 0.351 0.707 0.995
O 0.357 0.198 0.954
O 0.366 0.559 0.790
O 0.375 0.215 0.393
O 0.398 0.204 0.525
O 0.416 0.077 0.347
O 0.426 0.440 0.644
O 0.453 0.502 0.349
O 0.459 0.915 0.179
O 0.463 0.910 0.767
O 0.470 0.379 0.739
O 0.489 0.550 0.918
O 0.491 0.760 0.083
O 0.537 0.213 0.149
O 0.564 0.713 0.676
O 0.568 0.452 0.879
O 0.573 0.690 0.121
O 0.632 0.572 0.082
O 0.640 0.731 0.261
O 0.642 0.410 0.447
O 0.653 0.002 0.049
O 0.677 0.408 0.917
O 0.679 0.872 0.475
O 0.712 0.356 0.005
O 0.730 0.069 0.653
O 0.737 0.281 0.821
O 0.744 0.698 0.840
O 0.765 0.153 0.854
O 0.768 0.576 0.210
O 0.796 0.781 0.356
O 0.799 0.653 0.388
O 0.823 0.982 0.607
O 0.851 0.856 0.644
O 0.857 0.903 0.160
O 0.866 0.076 0.808
O 0.875 0.482 0.160
O 0.898 0.372 0.194
O 0.916 0.569 0.339
O 0.926 0.281 0.985
O 0.953 0.604 0.951
O 0.959 0.781 0.544
O 0.963 0.196 0.553
O 0.970 0.231 0.091
O 0.989 0.072 0.940
O 0.991 0.908 0.732

---

[2]
! AlPO4, relaxed, DFT PBE; values from VASP
! **Space-group type**: No. 29
! **Total moment**: 0.0 Bohr magnetons per cell
! **Uncorrected energy**: -0.27470 Ha/atom
&SYSTEM
  ibrav = 0, nat = 96, ntyp = 3
/
ATOMIC_SPECIES
Al 26.98 Al.upf
P 30.97 P.upf
O 16.00 O.upf
CELL_PARAMETERS angstrom
19.986 0.000 0.000
0.000 8.618 0.000
0.000 0.000 10.074
ATOMIC_POSITIONS crystal
Al 0.039 0.070 0.000
Al 0.074 0.573 0.272
Al 0.182 0.569 0.934
Al 0.217 0.072 0.224
Al 0.283 0.072 0.724
Al 0.318 0.569 0.434
Al 0.426 0.573 0.772
Al 0.461 0.070 0.500
Al 0.539 0.930 0.000
Al 0.574 0.427 0.272
Al 0.682 0.431 0.934
Al 0.717 0.928 0.224
Al 0.783 0.928 0.724
Al 0.818 0.431 0.434
Al 0.926 0.427 0.772
Al 0.961 0.930 0.500
P 0.038 0.446 0.990
P 0.072 0.944 0.282
P 0.183 0.941 0.939
P 0.219 0.440 0.219
P 0.281 0.440 0.719
P 0.317 0.941 0.439
P 0.428 0.944 0.782
P 0.462 0.446 0.490
P 0.538 0.554 0.990
P 0.572 0.056 0.282
P 0.683 0.059 0.939
P 0.719 0.560 0.219
P 0.781 0.560 0.719
P 0.817 0.059 0.439
P 0.928 0.056 0.782
P 0.962 0.554 0.490
O 0.023 0.514 0.405
O 0.030 0.987 0.404
O 0.032 0.979 0.155
O 0.033 0.538 0.120
O 0.039 0.271 0.022
O 0.091 0.771 0.286
O 0.102 0.490 0.913
O 0.114 0.016 0.922
O 0.136 0.042 0.287
O 0.149 0.470 0.276
O 0.174 0.767 0.966
O 0.221 0.016 0.057
O 0.221 0.480 0.070
O 0.224 0.964 0.812
O 0.229 0.541 0.790
O 0.237 0.268 0.238
O 0.263 0.268 0.738
O 0.271 0.541 0.290
O 0.276 0.964 0.312
O 0.279 0.016 0.557
O 0.279 0.480 0.570
O 0.326 0.767 0.466
O 0.351 0.470 0.776
O 0.364 0.042 0.787
O 0.386 0.016 0.422
O 0.398 0.490 0.413
O 0.409 0.771 0.786
O 0.461 0.271 0.522
O 0.467 0.538 0.620
O 0.468 0.979 0.655
O 0.470 0.987 0.904
O 0.477 0.514 0.905
O 0.523 0.486 0.405
O 0.530 0.013 0.404
O 0.532 0.021 0.155
O 0.533 0.462 0.120
O 0.539 0.729 0.022
O 0.591 0.229 0.286
O 0.602 0.510 0.913
O 0.614 0.984 0.922
O 0.636 0.958 0.287
O 0.649 0.530 0.276
O 0.674 0.233 0.966
O 0.721 0.520 0.070
O 0.721 0.984 0.057
O 0.724 0.036 0.812
O 0.729 0.459 0.790
O 0.737 0.732 0.238
O 0.763 0.732 0.738
O 0.771 0.459 0.290
O 0.776 0.036 0.312
O 0.779 0.520 0.570
O 0.779 0.984 0.557
O 0.826 0.233 0.466
O 0.851 0.530 0.776
O 0.864 0.958 0.787
O 0.886 0.984 0.422
O 0.898 0.510 0.413
O 0.909 0.229 0.786
O 0.961 0.729 0.522
O 0.967 0.462 0.620
O 0.968 0.021 0.655
O 0.970 0.013 0.904
O 0.977 0.486 0.905

---

[3]
! AlP3O9, relaxed, DFT PBE; values from VASP
! **Space-group type**: No. 9
! **Total moment**: 0.0 Bohr magnetons per cell
! **Uncorrected energy**: -0.26830 Ha/atom
&SYSTEM
  ibrav = 0, nat = 26, ntyp = 3
/
ATOMIC_SPECIES
Al 26.98 Al.upf
P 30.97 P.upf
O 16.00 O.upf
CELL_PARAMETERS angstrom
6.532 -3.198 0.000
6.532 3.198 0.000
-5.545 0.000 7.560
ATOMIC_POSITIONS crystal
Al 0.242 0.758 0.500
Al 0.758 0.242 0.000
P 0.033 0.235 0.822
P 0.235 0.033 0.322
P 0.273 0.456 0.676
P 0.456 0.273 0.176
P 0.704 0.786 0.242
P 0.786 0.704 0.742
O 0.076 0.138 0.172
O 0.138 0.076 0.672
O 0.153 0.903 0.340
O 0.229 0.292 0.003
O 0.292 0.229 0.503
O 0.317 0.620 0.660
O 0.370 0.433 0.336
O 0.433 0.370 0.836
O 0.505 0.849 0.308
O 0.552 0.740 0.593
O 0.583 0.991 0.157
O 0.620 0.317 0.160
O 0.740 0.552 0.093
O 0.794 0.922 0.900
O 0.849 0.505 0.808
O 0.903 0.153 0.840
O 0.922 0.794 0.400
O 0.991 0.583 0.657

---

[4]
! AlPO4, relaxed, DFT PBE; values from VASP
! **Space-group type**: No. 46
! **Total moment**: 0.0 Bohr magnetons per cell
! **Uncorrected energy**: -0.27476 Ha/atom
&SYSTEM
  ibrav = 0, nat = 60, ntyp = 3
/
ATOMIC_SPECIES
Al 26.98 Al.upf
P 30.97 P.upf
O 16.00 O.upf
CELL_PARAMETERS angstrom
-9.534 6.887 4.273
9.534 -6.887 4.273
9.534 6.887 -4.273
ATOMIC_POSITIONS crystal
Al 0.140 0.040 0.180
Al 0.140 0.460 0.600
Al 0.143 0.753 0.891
Al 0.445 0.600 0.046
Al 0.445 0.900 0.345
Al 0.554 0.100 0.655
Al 0.554 0.400 0.954
Al 0.860 0.540 0.400
Al 0.860 0.960 0.820
Al 0.862 0.253 0.109
P 0.071 0.228 0.048
P 0.071 0.524 0.343
P 0.181 0.024 0.952
P 0.181 0.728 0.657
P 0.483 0.165 0.396
P 0.483 0.587 0.818
P 0.487 0.871 0.117
P 0.754 0.371 0.883
P 0.769 0.087 0.604
P 0.769 0.665 0.182
O 0.045 0.009 0.854
O 0.045 0.692 0.536
O 0.142 0.578 0.663
O 0.142 0.978 0.064
O 0.155 0.192 0.146
O 0.155 0.509 0.464
O 0.159 0.754 0.758
O 0.159 0.900 0.905
O 0.221 0.392 0.012
O 0.221 0.708 0.329
O 0.320 0.807 0.013
O 0.326 0.131 0.315
O 0.326 0.510 0.695
O 0.379 0.208 0.988
O 0.379 0.892 0.671
O 0.463 0.112 0.513
O 0.463 0.450 0.850
O 0.475 0.062 0.332
O 0.475 0.643 0.913
O 0.483 0.747 0.106
O 0.483 0.877 0.236
O 0.600 0.612 0.150
O 0.600 0.950 0.487
O 0.642 0.247 0.764
O 0.642 0.377 0.894
O 0.664 0.049 0.115
O 0.668 0.358 0.425
O 0.668 0.742 0.810
O 0.730 0.143 0.668
O 0.730 0.562 0.087
O 0.795 0.307 0.987
O 0.816 0.010 0.685
O 0.816 0.631 0.305
O 0.914 0.078 0.936
O 0.914 0.478 0.337
O 0.932 0.242 0.575
O 0.932 0.858 0.190
O 0.935 0.549 0.885
O 0.996 0.254 0.095
O 0.996 0.400 0.242

---

[5]
! AlPO4, relaxed, DFT PBE; values from VASP
! **Space-group type**: No. 216
! **Total moment**: 0.0 Bohr magnetons per cell
! **Uncorrected energy**: -0.27458 Ha/atom
&SYSTEM
  ibrav = 0, nat = 30, ntyp = 3
/
ATOMIC_SPECIES
Al 26.98 Al.upf
P 30.97 P.upf
O 16.00 O.upf
CELL_PARAMETERS angstrom
0.000 6.927 6.927
6.927 0.000 6.927
6.927 6.927 0.000
ATOMIC_POSITIONS crystal
Al 0.000 0.000 0.000
Al 0.364 0.364 0.364
Al 0.364 0.364 0.908
Al 0.364 0.908 0.364
Al 0.908 0.364 0.364
P 0.135 0.135 0.135
P 0.135 0.135 0.594
P 0.135 0.594 0.135
P 0.500 0.500 0.500
P 0.594 0.135 0.135
O 0.072 0.072 0.072
O 0.072 0.072 0.784
O 0.072 0.784 0.072
O 0.242 0.242 0.532
O 0.242 0.242 0.984
O 0.242 0.532 0.242
O 0.242 0.532 0.984
O 0.242 0.984 0.242
O 0.242 0.984 0.532
O 0.436 0.436 0.436
O 0.436 0.436 0.691
O 0.436 0.691 0.436
O 0.532 0.242 0.242
O 0.532 0.242 0.984
O 0.532 0.984 0.242
O 0.691 0.436 0.436
O 0.784 0.072 0.072
O 0.984 0.242 0.242
O 0.984 0.242 0.532
O 0.984 0.532 0.242

---

[6]
! Al2PO, relaxed, DFT PBE; values from VASP
! **Space-group type**: No. 122
! **Total moment**: 0.0 Bohr magnetons per cell
! **Uncorrected energy**: -0.20436 Ha/atom
&SYSTEM
  ibrav = 0, nat = 8, ntyp = 3
/
ATOMIC_SPECIES
Al 26.98 Al.upf
P 30.97 P.upf
O 16.00 O.upf
CELL_PARAMETERS angstrom
-2.420 2.420 5.224
2.420 -2.420 5.224
2.420 2.420 -5.224
ATOMIC_POSITIONS crystal
Al 0.056 0.625 0.931
Al 0.375 0.306 0.431
Al 0.694 0.125 0.069
Al 0.875 0.944 0.569
P 0.250 0.750 0.500
P 0.500 0.500 0.000
O 0.000 0.000 0.000
O 0.750 0.250 0.500

---

[7]
! AlP2O2, relaxed, DFT PBE; values from VASP
! **Space-group type**: No. 123
! **Total moment**: 0.4 Bohr magnetons per cell
! **Uncorrected energy**: -0.20679 Ha/atom
&SYSTEM
  ibrav = 0, nat = 5, ntyp = 3
/
ATOMIC_SPECIES
Al 26.98 Al.upf
P 30.97 P.upf
O 16.00 O.upf
CELL_PARAMETERS angstrom
3.450 0.000 0.000
0.000 3.450 0.000
0.000 0.000 6.970
ATOMIC_POSITIONS crystal
Al 0.000 0.000 0.000
P 0.000 0.000 0.500
P 0.500 0.500 0.500
O 0.000 0.500 0.000
O 0.500 0.000 0.000

---

[8]
! AlPO4, relaxed, DFT PBE; values from VASP
! **Space-group type**: No. 148
! **Total moment**: 0.0 Bohr magnetons per cell
! **Uncorrected energy**: -0.27476 Ha/atom
&SYSTEM
  ibrav = 0, nat = 36, ntyp = 3
/
ATOMIC_SPECIES
Al 26.98 Al.upf
P 30.97 P.upf
O 16.00 O.upf
CELL_PARAMETERS angstrom
10.565 6.099 1.695
-10.565 6.099 1.695
0.000 -12.199 1.695
ATOMIC_POSITIONS crystal
Al 0.049 0.347 0.496
Al 0.347 0.496 0.049
Al 0.496 0.049 0.347
Al 0.504 0.951 0.653
Al 0.653 0.504 0.951
Al 0.951 0.653 0.504
P 0.028 0.586 0.732
P 0.268 0.972 0.414
P 0.414 0.268 0.972
P 0.586 0.732 0.028
P 0.732 0.028 0.586
P 0.972 0.414 0.268
O 0.003 0.436 0.596
O 0.028 0.688 0.692
O 0.039 0.297 0.834
O 0.166 0.961 0.703
O 0.215 0.610 0.398
O 0.297 0.834 0.039
O 0.308 0.972 0.312
O 0.312 0.308 0.972
O 0.390 0.602 0.785
O 0.398 0.215 0.610
O 0.404 0.997 0.564
O 0.436 0.596 0.003
O 0.564 0.404 0.997
O 0.596 0.003 0.436
O 0.602 0.785 0.390
O 0.610 0.398 0.215
O 0.688 0.692 0.028
O 0.692 0.028 0.688
O 0.703 0.166 0.961
O 0.785 0.390 0.602
O 0.834 0.039 0.297
O 0.961 0.703 0.166
O 0.972 0.312 0.308
O 0.997 0.564 0.404

---

[9]
! Al3PO, relaxed, DFT PBE; values from VASP
! **Space-group type**: No. 221
! **Total moment**: 0.0 Bohr magnetons per cell
! **Uncorrected energy**: -0.16622 Ha/atom
&SYSTEM
  ibrav = 0, nat = 5, ntyp = 3
/
ATOMIC_SPECIES
Al 26.98 Al.upf
P 30.97 P.upf
O 16.00 O.upf
CELL_PARAMETERS angstrom
4.227 0.000 0.000
0.000 4.227 0.000
0.000 0.000 4.227
ATOMIC_POSITIONS crystal
Al 0.000 0.000 0.500
Al 0.000 0.500 0.000
Al 0.500 0.000 0.000
P 0.500 0.500 0.500
O 0.000 0.000 0.000

---

[10]
! AlPO4, relaxed, DFT PBE; values from VASP
! **Space-group type**: No. 119
! **Total moment**: 0.0 Bohr magnetons per cell
! **Uncorrected energy**: -0.17683 Ha/atom
&SYSTEM
  ibrav = 0, nat = 6, ntyp = 3
/
ATOMIC_SPECIES
Al 26.98 Al.upf
P 30.97 P.upf
O 16.00 O.upf
CELL_PARAMETERS angstrom
-2.275 2.275 4.683
2.275 -2.275 4.683
2.275 2.275 -4.683
ATOMIC_POSITIONS crystal
Al 0.000 0.000 0.000
P 0.250 0.750 0.500
O 0.342 0.170 0.172
O 0.830 0.003 0.172
O 0.830 0.658 0.828
O 0.997 0.170 0.828